No. 1
BaLu2CuO5: PBEsol geometry, meta-GGA SCAN.

Cell lengths 11.8913, 5.5376, 6.9553 Å; angles 90.00, 90.00, 90.00 degrees
Closest atoms and distances in Å follow each position.
Space group Pnma (No. 62)
Asymmetric unit:
Ba  0.0964  0.2500  0.0710 [4 per cell]  7 O 2.61-2.91
Lu  0.0744  0.7500  0.3991 [4 per cell]  7 O 2.19-2.30
Lu  0.2122  0.2500  0.6165 [4 per cell]  7 O 2.21-2.31
Cu  0.1603  0.7500  0.7855 [4 per cell]  4 O 1.96-1.99
O  0.0671  0.5026  0.6615 [8 per cell]  1 Cu 1.96
O  0.1027  0.7500  0.0880 [4 per cell]  2 Lu 2.19-2.21, 1 Cu 2.21
O  0.2274  0.0011  0.3609 [8 per cell]  1 Cu 1.99

=====

No. 2
ZrInCl2: PBEsol geometry, meta-GGA SCAN.

Cell lengths 3.5398, 3.5398, 6.7608 Å; angles 90.00, 90.00, 90.00 degrees
Closest atoms and distances in Å follow each position.
Space group P4mm (No. 99)
Asymmetric unit:
Zr  0.0000  0.0000  0.0000 [1 per cell]  5 Cl 2.51-2.62
In  0.5000  0.5000  0.6752 [1 per cell]  5 Cl 2.96-3.24
Cl  0.0000  0.0000  0.3717 [1 per cell]  1 Zr 2.51
Cl  0.5000  0.5000  0.1136 [1 per cell]  4 Zr 2.62

=====

no.,formation energy (no corrections) (eV per atom),E_tot (Ha/atom),spin magnetization (μB per formula unit)
1,-3.090,-0.9163,1.00
2,-0.905,-0.7686,0.00